Density functional theory data (PBE-GGA) for a relaxed Rb2Ba2Ca crystal.

Cell: 10.2025 10.2025 7.0969 Å, 90.00 90.00 90.00°
With the nearest neighbours (Å) after each atom.
Fractional coordinates of all 10 atoms:
Rb1 0.1707 0.3293 0.0000  6 Ba 4.44-4.80, 1 Rb 4.93
Rb2 0.3293 0.8293 0.0000  6 Ba 4.44-4.80, 1 Rb 4.93
Rb3 0.6707 0.1707 0.0000  6 Ba 4.44-4.80, 1 Rb 4.93
Rb4 0.8293 0.6707 0.0000  6 Ba 4.44-4.80, 1 Rb 4.93
Ba1 0.1445 0.6445 0.5000  2 Ca 3.92, 1 Ba 4.17
Ba2 0.3555 0.1445 0.5000  2 Ca 3.92, 1 Ba 4.17
Ba3 0.6445 0.8555 0.5000  2 Ca 3.92, 1 Ba 4.17
Ba4 0.8555 0.3555 0.5000  2 Ca 3.92, 1 Ba 4.17
Ca1 0.0000 0.0000 0.5000  4 Ba 3.92
Ca2 0.5000 0.5000 0.5000  4 Ba 3.92

## Properties
DOS at the Fermi energy in states/eV/atom: 1.705
Total energy in eV per atom: -1.25
Energy relative to the elements in eV per atom: 0.307
Size of the total moment in Bohr magnetons per cell: 0.00

Density functional theory data (PBE-GGA) for a relaxed K2TiCd crystal.

Cell: 9.9358 9.9358 6.2480 Å, 90.00 90.00 90.00°
With the nearest neighbours (Å) after each atom.
Fractional coordinates of all 16 atoms:
K1 0.2168 0.7500 0.1250  2 K 3.19, 2 Cd 3.38
K2 0.2500 0.2168 0.8750  2 K 3.19, 2 Cd 3.38
K3 0.2500 0.2832 0.3750  2 K 3.19, 2 Cd 3.38
K4 0.2832 0.7500 0.6250  2 K 3.19, 2 Cd 3.38
K5 0.7168 0.2500 0.6250  2 K 3.19, 2 Cd 3.38
K6 0.7500 0.7168 0.3750  2 K 3.19, 2 Cd 3.38
K7 0.7500 0.7832 0.8750  2 K 3.19, 2 Cd 3.38
K8 0.7832 0.2500 0.1250  2 K 3.19, 2 Cd 3.38
Ti1 0.0000 0.0000 0.5000  2 Cd 3.12
Ti2 0.0000 0.5000 0.7500  2 Cd 3.12
Ti3 0.5000 0.0000 0.2500  2 Cd 3.12
Ti4 0.5000 0.5000 0.0000  2 Cd 3.12
Cd1 0.0000 0.0000 0.0000  2 Ti 3.12, 4 K 3.38
Cd2 0.0000 0.5000 0.2500  2 Ti 3.12, 4 K 3.38
Cd3 0.5000 0.0000 0.7500  2 Ti 3.12, 4 K 3.38
Cd4 0.5000 0.5000 0.5000  2 Ti 3.12, 4 K 3.38

## Properties
DOS at the Fermi energy in states/eV/atom: 1.447
Total energy in eV per atom: -1.94
Energy relative to the elements in eV per atom: 0.816
Size of the total moment in Bohr magnetons per cell: 12.61

Density functional theory data (PBE-GGA) for a relaxed DyErMg2Pd4 crystal.

Cell: 8.2519 8.2519 8.2519 Å, 33.50 33.50 33.50°
With the nearest neighbours (Å) after each atom.
Fractional coordinates of all 8 atoms:
Dy1 0.0000 0.0000 0.0000  8 Pd 2.92
Er1 0.5000 0.5000 0.5000  8 Pd 2.89-2.91
Mg1 0.2497 0.2497 0.2497  8 Pd 2.90-2.95
Mg2 0.7503 0.7503 0.7503  8 Pd 2.90-2.95
Pd1 0.1252 0.1252 0.1252  4 Mg 2.90-2.91, 3 Er 2.91, 1 Dy 2.92
Pd2 0.3760 0.3760 0.3760  1 Er 2.89, 4 Mg 2.91-2.95, 3 Dy 2.92
Pd3 0.6240 0.6240 0.6240  1 Er 2.89, 4 Mg 2.91-2.95, 3 Dy 2.92
Pd4 0.8748 0.8748 0.8748  4 Mg 2.90-2.91, 3 Er 2.91, 1 Dy 2.92

## Properties
DOS at the Fermi energy in states/eV/atom: 0.411
Total energy in eV per atom: -4.96
Energy relative to the elements in eV per atom: -0.819
Size of the total moment in Bohr magnetons per cell: 0.00

Density functional theory data (PBE-GGA) for a relaxed CaPm3Sm4S8 crystal.

Cell: 8.0377 8.0377 8.0377 Å, 60.04 60.04 60.04°
With the nearest neighbours (Å) after each atom.
Fractional coordinates of all 16 atoms:
Ca1 0.0000 0.0000 0.0000  6 S 2.82
Pm1 0.0000 0.5000 0.5000  6 S 2.85
Pm2 0.5000 0.0000 0.5000  6 S 2.85
Pm3 0.5000 0.5000 0.0000  6 S 2.85
Sm1 0.0000 0.0000 0.5000  6 S 2.83
Sm2 0.0000 0.5000 0.0000  6 S 2.83
Sm3 0.5000 0.0000 0.0000  6 S 2.83
Sm4 0.5000 0.5000 0.5000  6 S 2.86
S1 0.2466 0.7519 0.7519  1 Ca 2.82, 3 Sm 2.83-2.86, 2 Pm 2.85
S2 0.2481 0.2481 0.7534  1 Ca 2.82, 3 Sm 2.83-2.86, 2 Pm 2.85
S3 0.2481 0.7534 0.2481  1 Ca 2.82, 3 Sm 2.83-2.86, 2 Pm 2.85
S4 0.2492 0.2492 0.2492  3 Sm 2.83, 3 Pm 2.85
S5 0.7508 0.7508 0.7508  3 Sm 2.83, 3 Pm 2.85
S6 0.7519 0.2466 0.7519  1 Ca 2.82, 3 Sm 2.83-2.86, 2 Pm 2.85
S7 0.7519 0.7519 0.2466  1 Ca 2.82, 3 Sm 2.83-2.86, 2 Pm 2.85
S8 0.7534 0.2481 0.2481  1 Ca 2.82, 3 Sm 2.83-2.86, 2 Pm 2.85

## Properties
DOS at the Fermi energy in states/eV/atom: 0.488
Total energy in eV per atom: -6.29
ΔE_f (raw) in eV/atom: -2.031
Size of the total moment in Bohr magnetons per cell: 0.00

The lowest total energy belongs to which entry? CaPm3Sm4S8

Which formula does entry 3 have? DyErMg2Pd4

What is the formula in the third record? DyErMg2Pd4

Which of these has the highest DOS at the Fermi energy? Rb2Ba2Ca